(1)
A plane-wave DFT calculation with PBE-GGA was carried out for crystalline CrCoTc2H at its relaxed geometry.

Calculated values
SG: No. 123

The structure in extended XYZ format:
```
5
Lattice="3.875 0.000 0.000 0.000 3.875 0.000 0.000 0.000 3.557" Properties=species:S:1:pos:R:3 pbc="T T T"
Cr 0.000 0.000 0.000
Co 1.938 1.938 0.000
Tc 0.000 1.938 1.778
Tc 1.938 0.000 1.778
H 1.938 1.938 1.778
```

---

(2)
A plane-wave DFT calculation with PBE-GGA was carried out for crystalline CrCo2TcH at its relaxed geometry.

Calculated values
SG: No. 123

The structure in extended XYZ format:
```
5
Lattice="3.561 0.000 0.000 0.000 3.561 0.000 0.000 0.000 3.819" Properties=species:S:1:pos:R:3 pbc="T T T"
Cr 0.000 0.000 0.000
Co 0.000 1.781 1.910
Co 1.781 0.000 1.910
Tc 1.781 1.781 0.000
H 0.000 0.000 1.910
```

---

no.,distance to the lowest polymorph of the same formula (eV per atom),raw total energy (eV per atom)
1,0.000,-8.10
2,0.000,-7.49